The following is a DFT calculation (GGA-PBE) of NaSe2I after structural relaxation.

* energy above the most stable polymorph in this dataset: 272 meV/atom
* electronic total energy: -2.253 eV/atom
* density of states at the Fermi level: 19.67 states/eV/cell

Cell: 7.474 7.474 7.474 Å, 90.00 90.00 90.00°
Space group Fm-3m (No. 225)
Symmetry-distinct sites (fractional):
Na 0.000 0.000 0.000 (multiplicity 4)
Se 0.250 0.250 0.250 (multiplicity 8)
I 0.000 0.000 0.500 (multiplicity 4)